Density functional theory data (GGA-PBE) for a geometry-optimized CaYZnAg structure.

Computed properties:
Energy above the lowest structure with this stoichiometry = 0 meV/atom
V = 24.3 Å³ per atom
Symmetry = P4mm
Formation energy = -312 meV/atom
Calculated density = 5.154 g cm⁻³

POSCAR file:
```
CaYZnAg
1.0
3.660 0.000 0.000
0.000 3.660 0.000
0.000 0.000 7.270
Ca Y Zn Ag
1 1 1 1
direct
0.000 0.000 0.000 Ca
0.000 0.000 0.513 Y
0.500 0.500 0.736 Zn
0.500 0.500 0.272 Ag
```



Density functional theory data (GGA-PBE) for a geometry-optimized CaYZnAg2 structure.

Computed properties:
V = 27.9 Å³ per atom
Symmetry = P4/mmm
Formation energy = 515 meV/atom
Calculated density = 4.876 g cm⁻³

POSCAR file:
```
CaYZnAg2
1.0
5.186 0.000 0.000
0.000 5.186 0.000
0.000 0.000 5.193
Ca Y Zn Ag
1 1 1 2
direct
0.000 0.000 0.000 Ca
0.500 0.500 0.500 Y
0.000 0.000 0.500 Zn
0.000 0.500 0.000 Ag
0.500 0.000 0.000 Ag
```



Density functional theory data (GGA-PBE) for a geometry-optimized CaZnAg2 structure.

Computed properties:
V = 21.0 Å³ per atom
Symmetry = P4/mmm
Formation energy = -111 meV/atom
Calculated density = 6.340 g cm⁻³

POSCAR file:
```
CaZnAg2
1.0
4.502 0.000 0.000
0.000 4.502 0.000
0.000 0.000 4.151
Ca Zn Ag
1 1 2
direct
0.000 0.000 0.000 Ca
0.500 0.500 0.000 Zn
0.000 0.500 0.500 Ag
0.500 0.000 0.500 Ag
```



Density functional theory data (GGA-PBE) for a geometry-optimized CaZnAg structure.

Computed properties:
V = 24.9 Å³ per atom
Symmetry = F-43m
Formation energy = -80 meV/atom
Calculated density = 4.738 g cm⁻³

POSCAR file:
```
CaZnAg
1.0
0.000 3.344 3.344
3.344 0.000 3.344
3.344 3.344 0.000
Ca Zn Ag
1 1 1
direct
0.000 0.000 0.000 Ca
0.250 0.250 0.250 Zn
0.500 0.500 0.500 Ag
```



Density functional theory data (GGA-PBE) for a geometry-optimized CaZnAg2 structure.

Computed properties:
V = 25.0 Å³ per atom
Symmetry = I-42d
Formation energy = 32 meV/atom
Calculated density = 5.329 g cm⁻³

POSCAR file:
```
CaZnAg2
1.0
-2.336 2.336 9.170
2.336 -2.336 9.170
2.336 2.336 -9.170
Ca Zn Ag
2 2 4
direct
0.000 0.000 0.000 Ca
0.750 0.250 0.500 Ca
0.250 0.750 0.500 Zn
0.500 0.500 0.000 Zn
0.224 0.625 0.099 Ag
0.375 0.474 0.599 Ag
0.526 0.125 0.901 Ag
0.875 0.776 0.401 Ag
```



Density functional theory data (GGA-PBE) for a geometry-optimized CaZn2Ag structure.

Computed properties:
V = 20.7 Å³ per atom
Symmetry = C2/m
Formation energy = 30 meV/atom
Calculated density = 5.597 g cm⁻³

POSCAR file:
```
CaZn2Ag
1.0
2.945 -4.608 0.000
2.945 4.608 0.000
-0.647 0.000 3.047
Ca Zn Ag
1 2 1
direct
0.000 0.000 0.000 Ca
0.000 0.500 0.500 Zn
0.500 0.000 0.500 Zn
0.500 0.500 0.000 Ag
```



Density functional theory data (GGA-PBE) for a geometry-optimized Ca3ZnAg3 structure.

Computed properties:
V = 25.5 Å³ per atom
Symmetry = C2/m
Formation energy = -310 meV/atom
Calculated density = 4.736 g cm⁻³

POSCAR file:
```
Ca3ZnAg3
1.0
5.566 -2.221 0.000
5.566 2.221 0.000
-5.135 0.000 14.444
Ca Zn Ag
6 2 6
direct
0.032 0.032 0.388 Ca
0.105 0.105 0.922 Ca
0.246 0.246 0.234 Ca
0.754 0.754 0.766 Ca
0.895 0.895 0.078 Ca
0.968 0.968 0.612 Ca
0.261 0.261 0.605 Zn
0.739 0.739 0.395 Zn
0.363 0.363 0.457 Ag
0.387 0.387 0.922 Ag
0.465 0.465 0.763 Ag
0.535 0.535 0.237 Ag
0.613 0.613 0.078 Ag
0.637 0.637 0.543 Ag
```



Density functional theory data (GGA-PBE) for a geometry-optimized CaZnAg2 structure.

Computed properties:
V = 22.0 Å³ per atom
Symmetry = Cm
Formation energy = -189 meV/atom
Calculated density = 6.073 g cm⁻³

POSCAR file:
```
CaZnAg2
1.0
4.005 -2.300 0.000
4.005 2.300 0.000
-2.633 0.000 4.767
Ca Zn Ag
1 1 2
direct
0.000 0.000 0.000 Ca
0.213 0.213 0.638 Zn
0.529 0.529 0.587 Ag
0.785 0.785 0.353 Ag
```



Which energy belongs to each record? In order, -3.46, -2.57, -2.36, -2.12, -2.21, -1.82, -2.57, -2.43 eV per atom.